Entry 1:
## Pm4Er5Tm4 (GGA-PBE)

Data for a relaxed structure of Pm4Er5Tm4.

Values from the calculation:
The magnetic moment comes out at 0.00 μB/f.u. Its space-group type is No. 87. The density of states at the Fermi level comes out at 18.4 states/eV/cell.

a = 5.002 Å, b = 9.382 Å, c = 9.382 Å
α = 85.93°, β = 74.54°, γ = 74.54°
Sites, in units of the cell vectors:
Pm  0.922  0.461  0.696
Pm  0.618  0.304  0.461
Pm  0.078  0.539  0.304
Pm  0.382  0.696  0.539
Er  0.690  0.850  0.771
Er  0.310  0.150  0.229
Er  0.000  0.000  0.000
Er  0.539  0.771  0.150
Er  0.461  0.229  0.850
Tm  0.771  0.383  0.076
Tm  0.229  0.617  0.924
Tm  0.847  0.924  0.383
Tm  0.153  0.076  0.617

Entry 2:
## LiHo2Er (GGA-PBE)

Data for a relaxed structure of LiHo2Er.

Values from the calculation:
The magnetic moment comes out at 0.00 μB/f.u. The excess energy over the best structure of this formula in the dataset is 0.020 eV per atom. Its space-group type is No. 160. The density of states at the Fermi level comes out at 3.7 states/eV/cell.

a = 3.470 Å, b = 3.470 Å, c = 11.297 Å
α = 81.17°, β = 81.17°, γ = 60.00°
Sites, in units of the cell vectors:
Li  0.500  0.500  0.500
Ho  0.085  0.085  0.746
Ho  0.249  0.249  0.254
Er  0.667  0.667  0.000

Entry 3:
## Nd2AlIr (GGA-PBE)

Data for a relaxed structure of Nd2AlIr.

Values from the calculation:
The magnetic moment comes out at 0.00 μB/f.u. Its space-group type is No. 123. The density of states at the Fermi level comes out at 2.2 states/eV/cell.

a = 3.685 Å, b = 3.685 Å, c = 7.083 Å
α = 90.00°, β = 90.00°, γ = 90.00°
Sites, in units of the cell vectors:
Ir  0.500  0.500  0.000
Nd  0.000  0.000  0.768
Nd  0.000  0.000  0.232
Al  0.500  0.500  0.500

Entry 4:
## AcCuPt2 (GGA-PBE)

Data for a relaxed structure of AcCuPt2.

Values from the calculation:
The magnetic moment comes out at 0.00 μB/f.u. The excess energy over the best structure of this formula in the dataset is 0.237 eV per atom. Its space-group type is No. 123. The density of states at the Fermi level comes out at 1.8 states/eV/cell.

a = 4.235 Å, b = 4.361 Å, c = 4.361 Å
α = 90.00°, β = 90.00°, γ = 90.00°
Sites, in units of the cell vectors:
Ac  0.500  0.000  0.000
Cu  0.500  0.500  0.500
Pt  0.000  0.000  0.500
Pt  0.000  0.500  0.000

Entry 5:
## CsMgCdSn (GGA-PBE)

Data for a relaxed structure of CsMgCdSn.

Values from the calculation:
The magnetic moment comes out at 0.00 μB/f.u. Its space-group type is No. 99. The density of states at the Fermi level comes out at 1.8 states/eV/cell.

a = 3.675 Å, b = 3.675 Å, c = 9.317 Å
α = 90.01°, β = 89.99°, γ = 89.97°
Sites, in units of the cell vectors:
Cs  0.646  0.354  0.972
Mg  0.646  0.354  0.472
Cd  0.146  0.854  0.654
Sn  0.147  0.853  0.291

Entry 6:
## BaScHg (GGA-PBE)

Data for a relaxed structure of BaScHg.

Values from the calculation:
The magnetic moment comes out at 0.14 μB/f.u. The excess energy over the best structure of this formula in the dataset is 0.393 eV per atom. Its space-group type is No. 216. The density of states at the Fermi level comes out at 4.7 states/eV/cell.

a = 5.388 Å, b = 5.388 Å, c = 5.388 Å
α = 60.00°, β = 60.00°, γ = 60.00°
Last column: magnetic moment on the atom in μB.
Sites, in units of the cell vectors:
Ba  0.500  0.500  0.500  0.01
Hg  0.750  0.750  0.750  0.00
Sc  0.000  0.000  0.000  0.06

Entry 7:
## Mg6Cd7 (GGA-PBE)

Data for a relaxed structure of Mg6Cd7.

Values from the calculation:
The magnetic moment comes out at 0.00 μB/f.u. Its space-group type is No. 166. The density of states at the Fermi level comes out at 5.5 states/eV/cell.

a = 10.968 Å, b = 10.968 Å, c = 10.968 Å
α = 30.19°, β = 30.19°, γ = 30.19°
Sites, in units of the cell vectors:
Mg  0.954  0.954  0.954
Mg  0.046  0.046  0.046
Mg  0.847  0.847  0.847
Mg  0.153  0.153  0.153
Mg  0.666  0.666  0.666
Mg  0.334  0.334  0.334
Cd  0.915  0.411  0.411
Cd  0.411  0.411  0.915
Cd  0.411  0.915  0.411
Cd  0.085  0.589  0.589
Cd  0.589  0.085  0.589
Cd  0.589  0.589  0.085
Cd  0.500  0.500  0.500

Entry 8:
## KLiGa2Te4 (GGA-PBE)

Data for a relaxed structure of KLiGa2Te4.

Values from the calculation:
The magnetic moment comes out at 0.00 μB/f.u. Its space-group type is No. 23. For the uncorrected formation energy, the calculation gives -0.41 eV/atom.

a = 6.996 Å, b = 7.345 Å, c = 7.345 Å
α = 74.85°, β = 61.56°, γ = 61.56°
Sites, in units of the cell vectors:
K  0.000  0.000  0.000
Li  0.500  0.500  0.500
Ga  0.165  0.335  0.335
Ga  0.835  0.665  0.665
Te  0.454  0.138  0.494
Te  0.085  0.862  0.506
Te  0.915  0.494  0.138
Te  0.546  0.506  0.862

Entry 9:
## LiCd3Au6 (GGA-PBE)

Data for a relaxed structure of LiCd3Au6.

Values from the calculation:
The magnetic moment comes out at 0.00 μB/f.u. The excess energy over the best structure of this formula in the dataset is 0.080 eV per atom. Its space-group type is No. 36. The density of states at the Fermi level comes out at 7.0 states/eV/cell.

a = 5.325 Å, b = 9.068 Å, c = 9.068 Å
α = 115.23°, β = 90.00°, γ = 90.00°
Sites, in units of the cell vectors:
Li  0.046  0.160  0.840
Li  0.546  0.840  0.160
Cd  0.478  0.919  0.700
Cd  0.978  0.700  0.919
Cd  0.140  0.373  0.627
Cd  0.640  0.627  0.373
Cd  0.978  0.081  0.300
Cd  0.478  0.300  0.081
Au  0.067  0.693  0.604
Au  0.567  0.604  0.693
Au  0.399  0.534  0.957
Au  0.899  0.957  0.534
Au  0.235  0.999  0.001
Au  0.676  0.274  0.726
Au  0.176  0.726  0.274
Au  0.735  0.001  0.999
Au  0.399  0.043  0.466
Au  0.899  0.466  0.043
Au  0.067  0.396  0.307
Au  0.567  0.307  0.396

Entry 10:
## Rb3Pu2NpS6 (GGA-PBE)

Data for a relaxed structure of Rb3Pu2NpS6.

Values from the calculation:
The magnetic moment comes out at 14.00 μB/f.u. Its space-group type is No. 12. The density of states at the Fermi level comes out at 28.2 states/eV/cell. For the uncorrected formation energy, the calculation gives -1.51 eV/atom.

a = 7.159 Å, b = 7.159 Å, c = 8.013 Å
α = 98.56°, β = 98.56°, γ = 120.00°
Last column: magnetic moment on the atom in μB.
Sites, in units of the cell vectors:
Rb  0.168  0.832  0.500  0.00
Rb  0.832  0.168  0.500  0.00
Rb  0.500  0.500  0.500  0.00
Pu  0.333  0.667  0.000  5.15
Pu  0.667  0.333  0.000  5.15
Np  0.000  0.000  0.000  3.74
S  0.937  0.608  0.810  -0.10
S  0.734  0.734  0.190  -0.10
S  0.063  0.392  0.190  -0.10
S  0.608  0.937  0.810  -0.10
S  0.266  0.266  0.810  -0.10
S  0.392  0.063  0.190  -0.10

Entry 11:
## CdSn2As (GGA-PBE)

Data for a relaxed structure of CdSn2As.

Values from the calculation:
The magnetic moment comes out at 0.00 μB/f.u. The excess energy over the best structure of this formula in the dataset is 0.000 eV per atom. Its space-group type is No. 166. The density of states at the Fermi level comes out at 2.0 states/eV/cell.

a = 3.990 Å, b = 3.990 Å, c = 7.971 Å
α = 75.51°, β = 75.51°, γ = 60.00°
Sites, in units of the cell vectors:
As  0.000  0.000  0.000
Sn  0.258  0.258  0.225
Sn  0.742  0.742  0.775
Cd  0.500  0.500  0.500

Entry 12:
## Ca4FeSn8 (GGA-PBE)

Data for a relaxed structure of Ca4FeSn8.

Values from the calculation:
The magnetic moment comes out at 1.55 μB/f.u. Its space-group type is No. 25. The density of states at the Fermi level comes out at 8.2 states/eV/cell.

a = 4.569 Å, b = 4.709 Å, c = 16.160 Å
α = 90.00°, β = 90.00°, γ = 90.00°
Last column: magnetic moment on the atom in μB.
Sites, in units of the cell vectors:
Ca  0.000  0.000  0.090  -0.01
Ca  0.000  0.500  0.602  0.01
Ca  0.500  0.500  0.397  0.00
Ca  0.500  0.000  0.909  -0.01
Fe  0.000  0.000  0.296  1.65
Sn  0.000  0.000  0.453  -0.02
Sn  0.000  0.500  0.932  0.00
Sn  0.500  0.500  0.067  -0.02
Sn  0.500  0.000  0.576  0.02
Sn  0.000  0.500  0.233  -0.03
Sn  0.000  0.000  0.752  0.00
Sn  0.500  0.000  0.235  -0.04
Sn  0.500  0.500  0.761  -0.01

The following VASP energy values (in eV/cell) correspond, in order, to the records above: -59.406, -15.269, -23.959, -22.277, -7.614, -8.207, -16.052, -24.904, -51.634, -87.415, -13.511, -53.341.